(1)
DFT (PBE-GGA) results for crystalline CaFeIr2 at its relaxed geometry.

CIF file:
```
data_CaFeIr2
_chemical_formula_sum 'Ca2 Fe2 Ir4'
_space_group_name_H-M_alt 'I -4 m 2'
_space_group_IT_number 119
_space_group_name_Hall 'I -4 -2'
_cell_length_a 3.981
_cell_length_b 3.981
_cell_length_c 8.183
_cell_angle_alpha 90.00
_cell_angle_beta 90.00
_cell_angle_gamma 90.00
loop_
_atom_site_label
_atom_site_type_symbol
_atom_site_fract_x
_atom_site_fract_y
_atom_site_fract_z
Ca1 Ca 0.000 0.000 0.000
Fe1 Fe 0.000 0.500 0.750
Ir1 Ir 0.000 0.000 0.500
Ir2 Ir 0.000 0.500 0.250
```

Computed properties:
DOS at the Fermi energy, states/eV per atom: 1.471
Energy above the most stable polymorph in this dataset, eV per atom: 0.282
Energy relative to the elements, eV/atom: 0.28

(2)
DFT (PBE-GGA) results for crystalline PrAsHRu at its relaxed geometry.

CIF file:
```
data_PrAsHRu
_chemical_formula_sum 'Pr2 As2 H2 Ru2'
_space_group_name_H-M_alt 'P 4/n m m'
_space_group_IT_number 129
_cell_length_a 4.165
_cell_length_b 4.165
_cell_length_c 7.697
_cell_angle_alpha 90.00
_cell_angle_beta 90.00
_cell_angle_gamma 90.00
loop_
_space_group_symop_operation_xyz
'x,y,z'
'-x,-y,-z'
'-y+1/2,x,z'
'y+1/2,-x,-z'
'-x+1/2,-y+1/2,z'
'x+1/2,y+1/2,-z'
'y,-x+1/2,z'
'-y,x+1/2,-z'
'x+1/2,-y,-z'
'-x+1/2,y,z'
'-y,-x,-z'
'y,x,z'
'-x,y+1/2,-z'
'x,-y+1/2,z'
'y+1/2,x+1/2,-z'
'-y+1/2,-x+1/2,z'
loop_
_atom_site_label
_atom_site_type_symbol
_atom_site_fract_x
_atom_site_fract_y
_atom_site_fract_z
Pr1 Pr 0.250 0.250 0.169
As1 As 0.250 0.250 0.671
H1 H 0.250 0.750 0.000
Ru1 Ru 0.250 0.750 0.500
```

Computed properties:
DOS at the Fermi energy, states/eV per atom: 0.572

(3)
DFT (PBE-GGA) results for crystalline Ba2PtPb3 at its relaxed geometry.

CIF file:
```
data_Ba2PtPb3
_chemical_formula_sum 'Ba16 Pt8 Pb24'
_space_group_name_H-M_alt 'F m m m'
_space_group_IT_number 69
_space_group_name_Hall '-F 2 2'
_cell_length_a 9.919
_cell_length_b 10.085
_cell_length_c 17.272
_cell_angle_alpha 90.00
_cell_angle_beta 90.00
_cell_angle_gamma 90.00
loop_
_atom_site_label
_atom_site_type_symbol
_atom_site_fract_x
_atom_site_fract_y
_atom_site_fract_z
Ba1 Ba 0.000 0.249 0.000
Ba2 Ba 0.250 0.250 0.250
Pt1 Pt 0.000 0.000 0.168
Pb1 Pb 0.000 0.000 0.325
Pb2 Pb 0.236 0.000 0.088
```

Computed properties:
DOS at the Fermi energy, states/eV per atom: 0.649
Energy above the most stable polymorph in this dataset, eV per atom: 0.029
Energy relative to the elements, eV/atom: -0.49

(4)
DFT (PBE-GGA) results for crystalline CaTlAuS2 at its relaxed geometry.

CIF file:
```
data_CaTlAuS2
_chemical_formula_sum 'Ca2 Tl2 Au2 S4'
_space_group_name_H-M_alt 'P 1 2/c 1'
_space_group_IT_number 13
_cell_length_a 7.156
_cell_length_b 5.443
_cell_length_c 7.712
_cell_angle_alpha 90.00
_cell_angle_beta 102.13
_cell_angle_gamma 90.00
loop_
_space_group_symop_operation_xyz
'x,y,z'
'-x,-y,-z'
'-x,y,-z+1/2'
'x,-y,z+1/2'
loop_
_atom_site_label
_atom_site_type_symbol
_atom_site_fract_x
_atom_site_fract_y
_atom_site_fract_z
Ca1 Ca 0.000 0.009 0.250
Tl1 Tl 0.500 0.374 0.750
Au1 Au 0.000 0.500 0.000
S1 S 0.241 0.204 0.043
```

Computed properties:
DOS at the Fermi energy, states/eV per atom: 0.000
Energy above the most stable polymorph in this dataset, eV per atom: 0.000
ΔE_f (raw), eV/atom: -0.916

(5)
DFT (PBE-GGA) results for crystalline Pu2BiI at its relaxed geometry.

CIF file:
```
data_Pu2BiI
_chemical_formula_sum 'Pu8 Bi4 I4'
_space_group_name_H-M_alt 'F m -3 m'
_space_group_IT_number 225
_space_group_name_Hall '-F 4 2 3'
_cell_length_a 7.747
_cell_length_b 7.747
_cell_length_c 7.747
_cell_angle_alpha 90.00
_cell_angle_beta 90.00
_cell_angle_gamma 90.00
loop_
_atom_site_label
_atom_site_type_symbol
_atom_site_fract_x
_atom_site_fract_y
_atom_site_fract_z
Pu1 Pu 0.250 0.250 0.250
Bi1 Bi 0.000 0.000 0.000
I1 I 0.000 0.000 0.500
```

Computed properties:
DOS at the Fermi energy, states/eV per atom: 3.436
Energy above the most stable polymorph in this dataset, eV per atom: 0.000
ΔE_f (raw), eV/atom: -0.499

(6)
DFT (PBE-GGA) results for crystalline Li3Ac2MgZn4 at its relaxed geometry.

CIF file:
```
data_Li3Ac2MgZn4
_chemical_formula_sum 'Li3 Ac2 Mg1 Zn4'
_space_group_name_H-M_alt 'P -4 m 2'
_space_group_IT_number 115
_cell_length_a 4.499
_cell_length_b 4.499
_cell_length_c 11.311
_cell_angle_alpha 90.00
_cell_angle_beta 90.00
_cell_angle_gamma 90.00
loop_
_space_group_symop_operation_xyz
'x,y,z'
'y,-x,-z'
'-x,-y,z'
'-y,x,-z'
'-x,y,z'
'-y,-x,-z'
'x,-y,z'
'y,x,-z'
loop_
_atom_site_label
_atom_site_type_symbol
_atom_site_fract_x
_atom_site_fract_y
_atom_site_fract_z
Li1 Li 0.000 0.000 0.000
Li2 Li 0.000 0.500 0.615
Ac1 Ac 0.000 0.500 0.270
Mg1 Mg 0.500 0.500 0.000
Zn1 Zn 0.000 0.000 0.500
Zn2 Zn 0.000 0.500 0.851
Zn3 Zn 0.500 0.500 0.500
```

Computed properties:
DOS at the Fermi energy, states/eV per atom: 0.783
Energy relative to the elements, eV/atom: -0.14

(7)
DFT (PBE-GGA) results for crystalline BaNa2PtO4 at its relaxed geometry.

CIF file:
```
data_BaNa2PtO4
_chemical_formula_sum 'Ba2 Na4 Pt2 O8'
_space_group_name_H-M_alt 'I -4 2 m'
_space_group_IT_number 121
_space_group_name_Hall 'I -4 2'
_cell_length_a 5.937
_cell_length_b 5.937
_cell_length_c 7.693
_cell_angle_alpha 90.00
_cell_angle_beta 90.00
_cell_angle_gamma 90.00
loop_
_atom_site_label
_atom_site_type_symbol
_atom_site_fract_x
_atom_site_fract_y
_atom_site_fract_z
Ba1 Ba 0.000 0.000 0.000
Na1 Na 0.000 0.500 0.250
Pt1 Pt 0.000 0.000 0.500
O1 O 0.159 0.159 0.310
```

Computed properties:
ΔE_f (raw), eV/atom: -1.183

(8)
DFT (PBE-GGA) results for crystalline TlAgBi2Se4 at its relaxed geometry.

CIF file:
```
data_TlAgBi2Se4
_chemical_formula_sum 'Tl4 Ag4 Bi8 Se16'
_space_group_name_H-M_alt 'C m c m'
_space_group_IT_number 63
_space_group_name_Hall '-C 2c 2'
_cell_length_a 4.296
_cell_length_b 14.048
_cell_length_c 15.363
_cell_angle_alpha 90.00
_cell_angle_beta 90.00
_cell_angle_gamma 90.00
loop_
_atom_site_label
_atom_site_type_symbol
_atom_site_fract_x
_atom_site_fract_y
_atom_site_fract_z
Tl1 Tl 0.000 0.119 0.250
Ag1 Ag 0.000 0.157 0.750
Bi1 Bi 0.000 0.367 0.065
Se1 Se 0.000 0.000 0.000
Se2 Se 0.000 0.271 0.606
Se3 Se 0.000 0.449 0.250
```

Computed properties:
DOS at the Fermi energy, states/eV per atom: 0.058
ΔE_f (raw), eV/atom: -0.319

(9)
DFT (PBE-GGA) results for crystalline YbErZn2 at its relaxed geometry.

CIF file:
```
data_YbErZn2
_chemical_formula_sum 'Yb4 Er4 Zn8'
_space_group_name_H-M_alt 'F m -3 m'
_space_group_IT_number 225
_space_group_name_Hall '-F 4 2 3'
_cell_length_a 7.116
_cell_length_b 7.116
_cell_length_c 7.116
_cell_angle_alpha 90.00
_cell_angle_beta 90.00
_cell_angle_gamma 90.00
loop_
_atom_site_label
_atom_site_type_symbol
_atom_site_fract_x
_atom_site_fract_y
_atom_site_fract_z
Yb1 Yb 0.000 0.000 0.000
Er1 Er 0.000 0.000 0.500
Zn1 Zn 0.250 0.250 0.250
```

Computed properties:
DOS at the Fermi energy, states/eV per atom: 3.409
Energy relative to the elements, eV/atom: -0.35

(10)
DFT (PBE-GGA) results for crystalline Ac2IrC2N6 at its relaxed geometry.

CIF file:
```
data_Ac2IrC2N6
_chemical_formula_sum 'Ac6 Ir3 C6 N18'
_space_group_name_H-M_alt 'R -3 m'
_space_group_IT_number 166
_space_group_name_Hall '-R 3 2"'
_cell_length_a 5.2777
_cell_length_b 5.2777
_cell_length_c 16.3102
_cell_angle_alpha 90.00
_cell_angle_beta 90.00
_cell_angle_gamma 120.00
loop_
_atom_site_label
_atom_site_type_symbol
_atom_site_fract_x
_atom_site_fract_y
_atom_site_fract_z
Ac1 Ac 0.0000 0.0000 0.2245
Ir1 Ir 0.0000 0.0000 0.0000
C1 C 0.0000 0.0000 0.4070
N1 N 0.0320 0.5160 0.2539
```

Computed properties:
DOS at the Fermi energy, states/eV per atom: 0.432
ΔE_f (raw), eV/atom: -0.327

(11)
DFT (PBE-GGA) results for crystalline Ag3Os at its relaxed geometry.

CIF file:
```
data_Ag3Os
_chemical_formula_sum 'Ag12 Os4'
_space_group_name_H-M_alt 'F m -3 m'
_space_group_IT_number 225
_space_group_name_Hall '-F 4 2 3'
_cell_length_a 6.491
_cell_length_b 6.491
_cell_length_c 6.491
_cell_angle_alpha 90.00
_cell_angle_beta 90.00
_cell_angle_gamma 90.00
loop_
_atom_site_label
_atom_site_type_symbol
_atom_site_fract_x
_atom_site_fract_y
_atom_site_fract_z
Ag1 Ag 0.000 0.000 0.000
Ag2 Ag 0.250 0.250 0.250
Os1 Os 0.000 0.000 0.500
```

Computed properties:
DOS at the Fermi energy, states/eV per atom: 0.669
Energy above the most stable polymorph in this dataset, eV per atom: 0.448
Energy relative to the elements, eV/atom: 0.85

(12)
DFT (PBE-GGA) results for crystalline TaCd3Rh at its relaxed geometry.

CIF file:
```
data_TaCd3Rh
_chemical_formula_sum 'Ta1 Cd3 Rh1'
_space_group_name_H-M_alt 'P m -3 m'
_space_group_IT_number 221
_space_group_name_Hall '-P 4 2 3'
_cell_length_a 5.305
_cell_length_b 5.305
_cell_length_c 5.305
_cell_angle_alpha 90.00
_cell_angle_beta 90.00
_cell_angle_gamma 90.00
loop_
_atom_site_label
_atom_site_type_symbol
_atom_site_fract_x
_atom_site_fract_y
_atom_site_fract_z
Ta1 Ta 0.000 0.000 0.000
Cd1 Cd 0.000 0.000 0.500
Rh1 Rh 0.500 0.500 0.500
```

Computed properties:
DOS at the Fermi energy, states/eV per atom: 0.867
Energy above the most stable polymorph in this dataset, eV per atom: 0.500
Energy relative to the elements, eV/atom: 1.68

| no. | VASP energy (eV/atom) |
| --- | --- |
| 1 | -6.770 |
| 2 | -6.300 |
| 3 | -3.996 |
| 4 | -4.096 |
| 5 | -9.023 |
| 6 | -2.209 |
| 7 | -4.988 |
| 8 | -3.684 |
| 9 | -2.512 |
| 10 | -8.098 |
| 11 | -4.097 |
| 12 | -2.713 |